[1]
# BaPb3 (PBE-GGA, relaxed)
# Calculated volume ... 278.2 Å³ per cell
# Size of the total moment ... 0.00 Bohr magnetons per cell
# ΔH_f (0 K) ... -0.25 eV/atom
data_BaPb3
_cell_length_a 7.1854
_cell_length_b 10.3536
_cell_length_c 3.7398
_cell_angle_alpha 90.00
_cell_angle_beta 90.00
_cell_angle_gamma 90.00
_symmetry_space_group_name_H-M 'C m m m'
_symmetry_Int_Tables_number 65
_symmetry_space_group_name_Hall '-C 2 2'
loop_
_atom_site_label
_atom_site_type_symbol
_atom_site_fract_x
_atom_site_fract_y
_atom_site_fract_z
_atom_site_occupancy
Ba1 Ba 0.0000 0.0000 0.0000 1
Pb1 Pb 0.0000 0.5000 0.0000 1
Pb2 Pb 0.2500 0.2500 0.5000 1



[2]
# Ba5Pb (PBE-GGA, relaxed)
# Calculated volume ... 348.9 Å³ per cell
# Size of the total moment ... 0.00 Bohr magnetons per cell
# ΔH_f (0 K) ... 0.28 eV/atom
data_Ba5Pb
_cell_length_a 7.4995
_cell_length_b 7.4995
_cell_length_c 7.1637
_cell_angle_alpha 90.00
_cell_angle_beta 90.00
_cell_angle_gamma 120.00
_symmetry_space_group_name_H-M 'P 6/m m m'
_symmetry_Int_Tables_number 191
_symmetry_space_group_name_Hall '-P 6 2'
loop_
_atom_site_label
_atom_site_type_symbol
_atom_site_fract_x
_atom_site_fract_y
_atom_site_fract_z
_atom_site_occupancy
Ba1 Ba 0.0000 0.5000 0.0000 1
Ba2 Ba 0.3333 0.6667 0.5000 1
Pb1 Pb 0.0000 0.0000 0.5000 1